This record from Alexandria via LeMat-Bulk describes Dy4Se5 after structural relaxation. The functional is PBE-GGA.

Lattice parameters (Å, degrees): 3.639 8.572 8.572 87.42 77.75 77.75
Last column: magnetic moment on the atom in μB.
Element x y z (fractional)
Dy 0.649 0.000 0.703  0.24
Dy 0.351 0.297 0.000  0.24
Dy 0.351 0.000 0.297  0.24
Dy 0.649 0.703 0.000  0.24
Se 0.721 0.279 0.279  0.01
Se 0.279 0.721 0.721  0.01
Se 0.000 0.000 0.000  0.01
Se 0.000 0.721 0.279  0.01
Se 0.000 0.279 0.721  0.01

**Calculated total energy**: -46.74 eV for the cell shown
**DOS at the Fermi energy**: 0.38 states/eV per atom
**Size of the total moment**: 1.60 μB per formula unit
**Theoretical density**: 6.794 g/cm³
**SG**: No. 139